VASP calculation (PBE) on crystalline LiMgPt2 at its relaxed geometry.

Cell: 4.040 4.040 7.218 Å, 90.00 90.00 90.00°
Space group I4/mmm (No. 139)
Inequivalent atoms, fractional coordinates:
1 Li 0.000 0.000 0.000 x2
2 Mg 0.000 0.000 0.500 x2
3 Pt 0.000 0.500 0.250 x4

Values from the calculation:
Total magnetic moment ... 0.002 Bohr magnetons per cell
Crystal system ... tetragonal


VASP calculation (PBE) on crystalline LiMgPt2 at its relaxed geometry.

Cell: 3.067 3.067 6.080 Å, 90.00 90.00 90.00°
Space group P4/mmm (No. 123)
Inequivalent atoms, fractional coordinates:
1 Li 0.000 0.000 0.000 x1
2 Mg 0.000 0.000 0.500 x1
3 Pt 0.500 0.500 0.236 x2

Values from the calculation:
Total magnetic moment ... 0.001 Bohr magnetons per cell
Crystal system ... tetragonal


VASP calculation (PBE) on crystalline LiMg2ScZn2Pt2 at its relaxed geometry.

Cell: 4.406 4.406 6.594 Å, 90.00 90.00 90.00°
Space group P-4m2 (No. 115)
Inequivalent atoms, fractional coordinates:
1 Li 0.000 0.000 0.000 x1
2 Mg 0.000 0.500 0.225 x2
3 Sc 0.500 0.500 0.500 x1
4 Zn 0.000 0.500 0.765 x2
5 Pt 0.000 0.000 0.500 x1
6 Pt 0.500 0.500 0.000 x1

Values from the calculation:
Total magnetic moment ... 0.008 Bohr magnetons per cell
Crystal system ... tetragonal


VASP calculation (PBE) on crystalline Li4MgSiPt2 at its relaxed geometry.

Cell: 4.278 4.278 6.083 Å, 90.00 90.00 90.00°
Space group P-4m2 (No. 115)
Inequivalent atoms, fractional coordinates:
1 Li 0.000 0.000 0.000 x1
2 Li 0.000 0.500 0.736 x2
3 Li 0.500 0.500 0.500 x1
4 Mg 0.500 0.500 0.000 x1
5 Si 0.000 0.000 0.500 x1
6 Pt 0.000 0.500 0.284 x2

Values from the calculation:
Total magnetic moment ... 0.011 Bohr magnetons per cell
Crystal system ... tetragonal


VASP calculation (PBE) on crystalline Li2Mg2SiSnPt2 at its relaxed geometry.

Cell: 4.407 4.407 6.444 Å, 90.00 90.00 90.00°
Space group P-4m2 (No. 115)
Inequivalent atoms, fractional coordinates:
1 Li 0.000 0.500 0.226 x2
2 Mg 0.000 0.000 0.000 x1
3 Mg 0.500 0.500 0.500 x1
4 Si 0.500 0.500 0.000 x1
5 Sn 0.000 0.000 0.500 x1
6 Pt 0.000 0.500 0.777 x2

Values from the calculation:
Total magnetic moment ... 0.000 Bohr magnetons per cell
Crystal system ... tetragonal


VASP calculation (PBE) on crystalline Li4MgSnPt2 at its relaxed geometry.

Cell: 4.487 4.487 6.186 Å, 90.00 90.00 90.00°
Space group P-4m2 (No. 115)
Inequivalent atoms, fractional coordinates:
1 Li 0.000 0.000 0.000 x1
2 Li 0.000 0.500 0.742 x2
3 Li 0.500 0.500 0.500 x1
4 Mg 0.000 0.000 0.500 x1
5 Sn 0.500 0.500 0.000 x1
6 Pt 0.000 0.500 0.247 x2

Values from the calculation:
Total magnetic moment ... 0.003 Bohr magnetons per cell
Crystal system ... tetragonal


VASP calculation (PBE) on crystalline Li2Mg2TlSnPt2 at its relaxed geometry.

Cell: 4.613 4.613 6.536 Å, 90.00 90.00 90.00°
Space group P-4m2 (No. 115)
Inequivalent atoms, fractional coordinates:
1 Li 0.000 0.500 0.249 x2
2 Mg 0.000 0.000 0.000 x1
3 Mg 0.500 0.500 0.500 x1
4 Tl 0.500 0.500 0.000 x1
5 Sn 0.000 0.000 0.500 x1
6 Pt 0.000 0.500 0.734 x2

Values from the calculation:
Total magnetic moment ... 0.006 Bohr magnetons per cell
Crystal system ... tetragonal


VASP calculation (PBE) on crystalline Li2YMgSn2Pt2 at its relaxed geometry.

Cell: 4.660 4.660 6.691 Å, 90.00 90.00 90.00°
Space group P-4m2 (No. 115)
Inequivalent atoms, fractional coordinates:
1 Li 0.000 0.500 0.228 x2
2 Y 0.000 0.000 0.500 x1
3 Mg 0.500 0.500 0.000 x1
4 Sn 0.000 0.000 0.000 x1
5 Sn 0.500 0.500 0.500 x1
6 Pt 0.000 0.500 0.762 x2

Values from the calculation:
Total magnetic moment ... 0.000 Bohr magnetons per cell
Crystal system ... tetragonal


VASP calculation (PBE) on crystalline Li4MgTlPt2 at its relaxed geometry.

Cell: 4.477 4.477 6.351 Å, 90.00 90.00 90.00°
Space group P-4m2 (No. 115)
Inequivalent atoms, fractional coordinates:
1 Li 0.000 0.000 0.000 x1
2 Li 0.000 0.500 0.741 x2
3 Li 0.500 0.500 0.500 x1
4 Mg 0.000 0.000 0.500 x1
5 Tl 0.500 0.500 0.000 x1
6 Pt 0.000 0.500 0.267 x2

Values from the calculation:
Total magnetic moment ... 0.042 Bohr magnetons per cell
Crystal system ... tetragonal


VASP calculation (PBE) on crystalline LiMgRe2 at its relaxed geometry.

Cell: 6.125 6.125 6.125 Å, 90.00 90.00 90.00°
Space group F-43m (No. 216)
Inequivalent atoms, fractional coordinates:
1 Li 0.000 0.000 0.000 x4
2 Mg 0.250 0.250 0.250 x4
3 Re 0.000 0.000 0.500 x4
4 Re 0.250 0.250 0.750 x4

Values from the calculation:
Total magnetic moment ... 0.049 Bohr magnetons per cell
Crystal system ... cubic


VASP calculation (PBE) on crystalline LiMgZnSb at its relaxed geometry.

Cell: 6.873 6.873 6.873 Å, 90.00 90.00 90.00°
Space group F-43m (No. 216)
Inequivalent atoms, fractional coordinates:
1 Li 0.000 0.000 0.000 x4
2 Mg 0.250 0.250 0.250 x4
3 Zn 0.000 0.000 0.500 x4
4 Sb 0.250 0.250 0.750 x4

Values from the calculation:
ΔE to the lowest computed polymorph ... 141.7 meV per atom
Crystal system ... cubic


VASP calculation (PBE) on crystalline LiMgZnSb at its relaxed geometry.

Cell: 6.869 6.869 6.869 Å, 90.00 90.00 90.00°
Space group F-43m (No. 216)
Inequivalent atoms, fractional coordinates:
1 Li 0.000 0.000 0.000 x4
2 Mg 0.000 0.000 0.500 x4
3 Zn 0.250 0.250 0.250 x4
4 Sb 0.250 0.250 0.750 x4

Values from the calculation:
ΔE to the lowest computed polymorph ... 0.0 meV per atom
Crystal system ... cubic


So what do the calculations give for E_tot? Going down the list: -4.61, -4.60, -3.84, -3.96, -4.21, -3.76, -3.74, -4.77, -3.44, -6.92, -2.32, -2.46 eV per atom.